# BaSrNi2As4

An optimized crystal structure of BaSrNi2As4 (GGA-PBE, OQMD).

Properties
The calculation puts the volume at 21.1 Å³/atom. Its electronic total energy is -4.888 eV/atom. As for the total magnetization: 0.0 μB per cell. Its crystal system is orthorhombic.

abc: 4.4627 8.6603 8.6603
angles: 30.29 90.00 90.00
Last column: nearest neighbours and their distance in Å.
Fractional coordinates of all 8 atoms:
Ni 0.5000 0.3099 0.3099  5 As 2.46-2.49
Ni 0.0000 0.6875 0.6875  5 As 2.36-2.48
Sr 0.5000 0.1065 0.1065  10 As 3.26-3.36, 5 Ni 3.40-3.45
As 0.0000 0.2483 0.2483  4 Ni 2.46-2.48
As 0.5000 0.4583 0.4583  1 Ni 2.48, 2 As 2.67
As 0.0000 0.5464 0.5464  1 Ni 2.36
As 0.5000 0.7475 0.7475  4 Ni 2.45-2.49
Ba 0.0000 0.8957 0.8957  10 As 3.33-3.39, 5 Ni 3.48-3.49

---

# BaNpAs2

An optimized crystal structure of BaNpAs2 (GGA-PBE, OQMD).

Properties
The calculation puts the volume at 30.6 Å³/atom. Its electronic total energy is -6.676 eV/atom. As for the total magnetization: 8.3 μB per cell. Its crystal system is orthorhombic.

abc: 9.1271 9.1271 5.3754
angles: 90.00 90.00 146.82
Last column: nearest neighbours and their distance in Å.
Fractional coordinates of all 8 atoms:
As 0.2456 0.7544 0.2500  4 Np 2.81-2.83
As 0.0282 0.9717 0.7500  2 As 2.86, 1 Np 2.90
As 0.9717 0.0282 0.2500  2 As 2.86, 1 Np 2.90
As 0.7544 0.2456 0.7500  4 Np 2.81-2.83
Ba 0.5917 0.4083 0.2500  4 As 3.35-3.75, 1 Np 3.75
Ba 0.4083 0.5917 0.7500  4 As 3.35-3.75, 1 Np 3.75
Np 0.8059 0.1941 0.2500  5 As 2.81-2.90
Np 0.1941 0.8059 0.7500  5 As 2.81-2.90

---

# Ba2AsOsO6

An optimized crystal structure of Ba2AsOsO6 (GGA-PBE, OQMD).

Properties
The calculation puts the volume at 13.9 Å³/atom. Its electronic total energy is -6.682 eV/atom. As for the total magnetization: 3.0 μB per cell. Its crystal system is triclinic.

abc: 5.8124 5.8131 5.8145
angles: 60.08 60.03 60.04
Last column: nearest neighbours and their distance in Å.
Fractional coordinates of all 10 atoms:
O 0.7644 0.2506 0.7376  1 Os 2.00, 1 As 2.12
O 0.7514 0.7463 0.2636  1 Os 2.00, 1 As 2.12
O 0.2435 0.2684 0.2465  1 Os 2.00, 1 As 2.12
O 0.2486 0.2537 0.7364  1 Os 2.00, 1 As 2.12
O 0.7565 0.7316 0.7535  1 Os 2.00, 1 As 2.12
O 0.2356 0.7494 0.2624  1 Os 2.00, 1 As 2.12
Ba 0.7500 0.2501 0.2500  12 O 2.85-2.97
Ba 0.2500 0.7499 0.7500  12 O 2.85-2.97
Os 0.0000 0.5000 0.5000  6 O 2.00
As 0.5000 0.0000 0.0000  6 O 2.12

---

# Ba2AsOsO6

An optimized crystal structure of Ba2AsOsO6 (GGA-PBE, OQMD).

Properties
The calculation puts the volume at 13.9 Å³/atom. Its electronic total energy is -6.682 eV/atom. As for the total magnetization: 3.0 μB per cell. Its crystal system is tetragonal.

abc: 5.8172 5.8172 5.8172
angles: 120.07 120.07 89.88
Last column: nearest neighbours and their distance in Å.
Fractional coordinates of all 10 atoms:
O 0.7548 0.7302 0.4850  1 Os 2.00, 1 As 2.12
O 0.2698 0.7548 0.0245  1 Os 2.00, 1 As 2.12
O 0.7302 0.2452 0.9755  1 Os 2.00, 1 As 2.12
O 0.2452 0.2698 0.5150  1 Os 2.00, 1 As 2.12
O 0.2576 0.2576 0.0000  1 Os 2.00, 1 As 2.12
O 0.7424 0.7424 0.0000  1 Os 2.00, 1 As 2.12
Os 0.5000 0.5000 0.0000  6 O 2.00
As 0.0000 0.0000 0.0000  6 O 2.12
Ba 0.7500 0.2500 0.5000  12 O 2.84-2.98
Ba 0.2500 0.7500 0.5000  12 O 2.84-2.98

---

# BaPaAsO

An optimized crystal structure of BaPaAsO (GGA-PBE, OQMD).

Properties
The calculation puts the volume at 31.6 Å³/atom. Its electronic total energy is -6.512 eV/atom. As for the total magnetization: 2.8 μB per cell. Its crystal system is orthorhombic.

abc: 4.6359 8.0414 6.7851
angles: 90.00 90.00 90.00
Last column: nearest neighbours and their distance in Å.
Fractional coordinates of all 8 atoms:
Pa 0.5000 0.3958 0.0115  2 O 2.23-2.25
Pa 0.5000 0.6042 0.5115  2 O 2.23-2.25
As 0.0000 0.2017 0.9461  2 Pa 2.83
As 0.0000 0.7983 0.4461  2 Pa 2.83
O 0.5000 0.6335 0.8417  2 Pa 2.23-2.25
O 0.5000 0.3665 0.3417  2 Pa 2.23-2.25
Ba 0.0000 0.2006 0.4548  2 O 2.78
Ba 0.0000 0.7994 0.9548  2 O 2.78

---

# BaPaAsO

An optimized crystal structure of BaPaAsO (GGA-PBE, OQMD).

Properties
The calculation puts the volume at 23.4 Å³/atom. Its electronic total energy is -6.317 eV/atom. As for the total magnetization: 2.4 μB per cell. Its crystal system is tetragonal.

abc: 4.4162 4.4162 9.6092
angles: 90.00 90.00 90.00
Last column: nearest neighbours and their distance in Å.
Fractional coordinates of all 8 atoms:
As 0.7500 0.7500 0.2468  4 O 3.24, 4 Ba 3.29, 5 Pa 3.38-3.41
As 0.2500 0.2500 0.7532  4 O 3.24, 4 Ba 3.29, 5 Pa 3.38-3.41
Ba 0.7500 0.2500 0.5000  4 Ba 3.12, 4 As 3.29
Ba 0.2500 0.7500 0.5000  4 Ba 3.12, 4 As 3.29
O 0.2500 0.7500 0.0000  4 Pa 2.43
O 0.7500 0.2500 0.0000  4 Pa 2.43
Pa 0.7500 0.7500 0.8953  4 O 2.43
Pa 0.2500 0.2500 0.1047  4 O 2.43

---

# BaPaAsO

An optimized crystal structure of BaPaAsO (GGA-PBE, OQMD).

Properties
The calculation puts the volume at 29.1 Å³/atom. Its electronic total energy is -6.066 eV/atom. As for the total magnetization: 2.9 μB per cell. Its crystal system is tetragonal.

abc: 4.8826 4.8826 9.7764
angles: 90.00 90.00 90.00
Last column: nearest neighbours and their distance in Å.
Fractional coordinates of all 8 atoms:
As 0.0000 0.5000 0.3364  4 Pa 2.92
As 0.5000 0.0000 0.6636  4 Pa 2.92
Pa 0.0000 0.0000 0.5000  4 As 2.92
Pa 0.5000 0.5000 0.5000  4 As 2.92
O 0.0000 0.0000 0.0000  4 Ba 2.62
O 0.5000 0.5000 0.0000  4 Ba 2.62
Ba 0.5000 0.0000 0.0966  4 O 2.62
Ba 0.0000 0.5000 0.9034  4 O 2.62

---

# BaAs2Pd2O8

An optimized crystal structure of BaAs2Pd2O8 (GGA-PBE, OQMD).

Properties
The calculation puts the volume at 13.6 Å³/atom. Its electronic total energy is -5.809 eV/atom. Its crystal system is trigonal.

abc: 8.2489 8.2489 8.2489
angles: 36.34 36.34 36.34
Last column: nearest neighbours and their distance in Å.
Fractional coordinates of all 13 atoms:
O 0.5749 0.2270 0.8732  1 As 1.75
O 0.8732 0.5749 0.2270  1 As 1.75
O 0.7730 0.1268 0.4251  1 As 1.75
O 0.2270 0.8732 0.5749  1 As 1.75
O 0.3445 0.3445 0.3445  1 As 1.69
O 0.1268 0.4251 0.7730  1 As 1.75
O 0.4251 0.7730 0.1268  1 As 1.75
O 0.6555 0.6555 0.6555  1 As 1.69
Ba 0.0000 0.0000 0.0000  12 O 2.98-3.01
Pd 0.1704 0.1704 0.1704  6 O 2.20-2.21
Pd 0.8296 0.8296 0.8296  6 O 2.20-2.21
As 0.5823 0.5823 0.5823  4 O 1.69-1.75
As 0.4177 0.4177 0.4177  4 O 1.69-1.75

---

# BaAsPdO

An optimized crystal structure of BaAsPdO (GGA-PBE, OQMD).

Properties
The calculation puts the volume at 23.2 Å³/atom. Its electronic total energy is -5.048 eV/atom. Its crystal system is orthorhombic.

abc: 3.9865 6.3357 7.3502
angles: 90.00 90.00 90.00
Last column: nearest neighbours and their distance in Å.
Fractional coordinates of all 8 atoms:
Pd 0.0000 0.2324 0.4663  2 O 2.09
Pd 0.0000 0.7676 0.9663  2 O 2.09
O 0.5000 0.3266 0.4373  2 Pd 2.09
O 0.5000 0.6734 0.9373  2 Pd 2.09
Ba 0.5000 0.3090 0.0824  2 O 2.54-2.61
Ba 0.5000 0.6910 0.5824  2 O 2.54-2.61
As 0.0000 0.0820 0.7679  2 Pd 2.41-2.47
As 0.0000 0.9180 0.2679  2 Pd 2.41-2.47

---

# BaAsPdO

An optimized crystal structure of BaAsPdO (GGA-PBE, OQMD).

Properties
The calculation puts the volume at 22.0 Å³/atom. Its electronic total energy is -3.958 eV/atom. Its crystal system is tetragonal.

abc: 4.7861 4.7861 7.6727
angles: 90.00 90.00 90.00
Last column: nearest neighbours and their distance in Å.
Fractional coordinates of all 8 atoms:
Pd 0.2500 0.2500 0.9392  1 As 2.32, 4 O 2.44
Pd 0.7500 0.7500 0.0608  1 As 2.32, 4 O 2.44
As 0.2500 0.2500 0.2421  1 Pd 2.32
As 0.7500 0.7500 0.7579  1 Pd 2.32
O 0.2500 0.7500 0.0000  4 Pd 2.44
O 0.7500 0.2500 0.0000  4 Pd 2.44
Ba 0.2500 0.7500 0.5000  4 As 3.11, 4 Ba 3.38
Ba 0.7500 0.2500 0.5000  4 As 3.11, 4 Ba 3.38

---

# BaAsPdO

An optimized crystal structure of BaAsPdO (GGA-PBE, OQMD).

Properties
The calculation puts the volume at 23.0 Å³/atom. Its electronic total energy is -5.418 eV/atom. Its crystal system is tetragonal.

abc: 4.4508 4.4508 9.2816
angles: 90.00 90.00 90.00
Last column: nearest neighbours and their distance in Å.
Fractional coordinates of all 8 atoms:
Ba 0.2500 0.2500 0.1320  4 O 2.54
Ba 0.7500 0.7500 0.8680  4 O 2.54
Pd 0.7500 0.2500 0.5000  4 As 2.50
Pd 0.2500 0.7500 0.5000  4 As 2.50
As 0.2500 0.2500 0.6229  4 Pd 2.50
As 0.7500 0.7500 0.3771  4 Pd 2.50
O 0.7500 0.2500 0.0000  4 Ba 2.54
O 0.2500 0.7500 0.0000  4 Ba 2.54

---

# BaAsPdO

An optimized crystal structure of BaAsPdO (GGA-PBE, OQMD).

Properties
The calculation puts the volume at 21.5 Å³/atom. Its electronic total energy is -5.272 eV/atom. Its crystal system is orthorhombic.

abc: 3.5832 8.0673 5.9373
angles: 90.00 90.00 90.00
Last column: nearest neighbours and their distance in Å.
Fractional coordinates of all 8 atoms:
O 0.5000 0.9914 0.7542  2 Pd 2.25-2.43
O 0.5000 0.0086 0.2542  2 Pd 2.25-2.43
Ba 0.0000 0.1557 0.9964  4 O 2.64-2.65
Ba 0.0000 0.8443 0.4964  4 O 2.64-2.65
Pd 0.5000 0.2242 0.4941  2 O 2.25-2.43, 2 As 2.42
Pd 0.5000 0.7758 0.9941  2 O 2.25-2.43, 2 As 2.42
As 0.0000 0.4260 0.5092  2 Pd 2.42
As 0.0000 0.5740 0.0092  2 Pd 2.42